No. 1
! GGA-PBE Er6Zn2Cu, optimized geometry; values from VASP
! final energy = -3.7598 eV/atom
! V = 27.137 A^3/atom
! N(E_F) = 10.70 states/eV per cell
&SYSTEM
  ibrav = 0, nat = 9, ntyp = 3
/
ATOMIC_SPECIES
Zn 65.41 Zn.upf
Cu 63.55 Cu.upf
Er 167.26 Er.upf
ATOMIC_POSITIONS angstrom
Zn -1.494 1.860 4.236
Zn -4.111 -1.609 2.053
Cu 0.000 0.000 0.000
Er -3.983 -4.116 0.406
Er -1.334 -0.610 2.543
Er -2.743 -0.963 -0.541
Er -3.043 3.983 2.809
Er -4.270 0.861 3.746
Er -2.562 -3.732 3.481
CELL_PARAMETERS angstrom
-4.300 1.093 -1.988
-2.427 -6.172 1.854
1.122 5.330 6.424

No. 2
! GGA-PBE HfZn2InF, optimized geometry; values from VASP
! uncorrected formation energy = 0.536 eV/atom
! final energy = -2.8859 eV/atom
! V = 27.102 A^3/atom
! N(E_F) = 2.56 states/eV per cell
&SYSTEM
  ibrav = 0, nat = 5, ntyp = 4
/
ATOMIC_SPECIES
Zn 65.41 Zn.upf
Hf 178.49 Hf.upf
In 114.82 In.upf
F 19.00 F.upf
ATOMIC_POSITIONS angstrom
Zn -0.292 1.871 -1.560
Hf 0.107 -1.790 -2.168
In 0.000 0.000 0.000
Zn -2.434 -0.285 0.114
F -2.619 -0.204 -3.613
CELL_PARAMETERS angstrom
-0.584 3.742 -3.120
0.215 -3.581 -4.336
-4.869 -0.569 0.229

No. 3
! GGA-PBE Sc12In3Ag, optimized geometry; values from VASP
! final energy = -5.6678 eV/atom
! V = 22.803 A^3/atom
! N(E_F) = 21.85 states/eV per cell
&SYSTEM
  ibrav = 0, nat = 16, ntyp = 3
/
ATOMIC_SPECIES
In 114.82 In.upf
Sc 44.96 Sc.upf
Ag 107.87 Ag.upf
ATOMIC_POSITIONS angstrom
In -6.554 3.206 11.361
Sc -9.280 2.269 12.749
Sc -4.370 3.210 4.534
Sc -9.299 3.351 9.742
Sc -4.876 0.115 5.116
Sc -8.774 5.364 12.167
Sc -2.671 -0.964 1.293
Sc -6.568 4.285 8.345
Ag 0.000 0.000 0.000
Sc -2.743 0.143 -1.623
Sc -7.094 2.272 5.919
In -4.351 2.128 7.542
Sc -4.888 1.193 2.096
Sc -2.165 2.131 0.711
In -2.148 1.051 3.722
Sc -7.074 1.190 8.926
CELL_PARAMETERS angstrom
-2.237 3.239 -2.205
-3.249 -2.952 -1.041
-8.702 4.257 15.083

No. 4
! GGA-PBE Nd2ZnGe2, optimized geometry; values from VASP
! final energy = -4.7028 eV/atom
! V = 23.628 A^3/atom
! N(E_F) = 6.35 states/eV per cell
&SYSTEM
  ibrav = 0, nat = 10, ntyp = 3
/
ATOMIC_SPECIES
Nd 144.24 Nd.upf
Ge 72.64 Ge.upf
Zn 65.41 Zn.upf
ATOMIC_POSITIONS angstrom
Nd -3.554 -2.679 3.746
Nd -6.860 -5.307 2.983
Ge -1.920 -0.890 1.750
Nd -5.732 -7.733 6.069
Ge -6.641 -2.751 4.949
Ge -3.773 -5.234 1.781
Zn -3.939 -5.960 4.132
Ge -8.493 -7.095 4.980
Zn -6.474 -2.026 2.598
Nd -4.682 -0.252 0.661
CELL_PARAMETERS angstrom
-1.423 0.635 3.979
-5.924 0.745 0.057
-3.066 -9.366 2.693

No. 5
! GGA-PBE Y3CoCu, optimized geometry; values from VASP
! final energy = -5.9948 eV/atom
! V = 27.144 A^3/atom
! N(E_F) = 2.68 states/eV per cell
&SYSTEM
  ibrav = 0, nat = 5, ntyp = 3
/
ATOMIC_SPECIES
Y 88.91 Y.upf
Cu 63.55 Cu.upf
Co 58.93 Co.upf
ATOMIC_POSITIONS angstrom
Y 0.000 2.570 0.000
Y 0.000 0.000 2.570
Y 2.570 0.000 0.000
Cu 2.570 2.570 2.570
Co 0.000 0.000 0.000
CELL_PARAMETERS angstrom
5.139 0.000 0.000
0.000 5.139 0.000
0.000 0.000 5.139

No. 6
! GGA-PBE PmS2Br2O6, optimized geometry; values from VASP
! uncorrected formation energy = -1.369 eV/atom
! final energy = -5.5595 eV/atom
! V = 20.378 A^3/atom
! N(E_F) = 4.81 states/eV per cell
&SYSTEM
  ibrav = 0, nat = 11, ntyp = 4
/
ATOMIC_SPECIES
Br 79.90 Br.upf
S 32.06 S.upf
O 16.00 O.upf
Pm 145.00 Pm.upf
ATOMIC_POSITIONS angstrom
Br -3.217 -0.044 4.859
S -4.758 -3.533 3.906
O -3.296 -3.237 3.905
O -5.138 -4.289 2.677
Br -3.908 -1.218 0.649
S -2.366 2.271 1.603
O -5.546 -2.270 4.005
Pm 0.000 0.000 0.000
O -1.579 1.008 1.503
O -3.829 1.975 1.603
O -1.987 3.027 2.832
CELL_PARAMETERS angstrom
-1.044 5.162 3.397
-4.709 -2.690 -3.142
-1.372 -3.735 5.253

No. 7
! GGA-PBE K2Hg2Au, optimized geometry; values from VASP
! final energy = -1.3763 eV/atom
! V = 36.947 A^3/atom
! N(E_F) = 2.03 states/eV per cell
&SYSTEM
  ibrav = 0, nat = 5, ntyp = 3
/
ATOMIC_SPECIES
K 39.10 K.upf
Hg 200.59 Hg.upf
Au 196.97 Au.upf
ATOMIC_POSITIONS angstrom
K -4.249 6.482 -0.074
Hg -3.733 3.158 -0.612
Hg -7.432 6.317 -1.277
Au 0.000 0.000 0.000
K -6.916 2.993 -1.816
CELL_PARAMETERS angstrom
-0.324 6.673 -0.058
-5.657 -0.306 -3.541
-5.183 3.107 1.710

No. 8
! GGA-PBE SrLaDyMg, optimized geometry; values from VASP
! final energy = -3.0719 eV/atom
! V = 35.169 A^3/atom
! N(E_F) = 3.84 states/eV per cell
&SYSTEM
  ibrav = 0, nat = 4, ntyp = 4
/
ATOMIC_SPECIES
Dy 162.50 Dy.upf
La 138.91 La.upf
Mg 24.30 Mg.upf
Sr 87.62 Sr.upf
ATOMIC_POSITIONS angstrom
Dy 2.919 1.685 1.192
La 5.838 3.370 2.383
Mg 8.757 5.056 3.575
Sr 0.000 0.000 0.000
CELL_PARAMETERS angstrom
5.838 0.000 0.000
2.919 5.056 0.000
2.919 1.685 4.767

No. 9
! GGA-PBE HgPd8Pt3, optimized geometry; values from VASP
! final energy = -4.6516 eV/atom
! V = 19.130 A^3/atom
! N(E_F) = 19.44 states/eV per cell
&SYSTEM
  ibrav = 0, nat = 12, ntyp = 3
/
ATOMIC_SPECIES
Hg 200.59 Hg.upf
Pt 195.08 Pt.upf
Pd 106.42 Pd.upf
ATOMIC_POSITIONS angstrom
Hg 0.000 0.000 0.000
Pt -3.513 2.311 3.674
Pd -2.715 3.637 5.781
Pd -2.612 3.569 1.567
Pd 2.726 0.193 0.307
Pd -4.414 1.054 5.781
Pt 0.006 -0.004 4.251
Pt 0.006 3.834 1.837
Pd -2.612 -0.132 3.896
Pd -0.912 2.451 3.896
Pd -4.414 4.755 3.453
Pd 0.923 1.379 2.193
CELL_PARAMETERS angstrom
7.037 -0.793 -1.260
-3.513 6.149 1.260
-3.513 -1.526 6.088

No. 10
! GGA-PBE CdCo2Bi2, optimized geometry; values from VASP
! final energy = -4.2339 eV/atom
! V = 19.841 A^3/atom
! N(E_F) = 12.56 states/eV per cell
&SYSTEM
  ibrav = 0, nat = 10, ntyp = 3
/
ATOMIC_SPECIES
Co 58.93 Co.upf
Bi 208.98 Bi.upf
Cd 112.41 Cd.upf
ATOMIC_POSITIONS angstrom
Co -0.517 -0.098 2.787
Bi 0.038 1.542 5.063
Co -5.384 1.193 5.395
Co -1.769 -0.060 6.596
Cd 0.000 0.000 0.000
Bi -3.208 2.403 6.803
Cd -2.950 0.547 4.091
Co -4.132 1.155 1.585
Bi -4.784 3.214 3.462
Bi -1.538 2.353 1.722
CELL_PARAMETERS angstrom
-6.787 2.036 1.124
0.886 -0.941 7.057
1.155 3.661 0.343

No. 11
! GGA-PBE ScAg2Au, optimized geometry; values from VASP
! final energy = -4.0702 eV/atom
! V = 18.920 A^3/atom
! N(E_F) = 2.76 states/eV per cell
&SYSTEM
  ibrav = 0, nat = 4, ntyp = 3
/
ATOMIC_SPECIES
Ag 107.87 Ag.upf
Sc 44.96 Sc.upf
Au 196.97 Au.upf
ATOMIC_POSITIONS angstrom
Ag -0.008 -0.021 0.017
Sc 0.002 -4.983 1.285
Ag -0.838 -2.210 1.789
Au 0.848 -2.751 -0.522
CELL_PARAMETERS angstrom
-0.773 -2.007 -2.841
3.315 -1.264 -0.009
-1.693 -4.463 3.613

No. 12
! GGA-PBE BeInTe2, optimized geometry; values from VASP
! uncorrected formation energy = 0.350 eV/atom
! final energy = -2.8366 eV/atom
! V = 32.640 A^3/atom
! N(E_F) = 0.96 states/eV per cell
&SYSTEM
  ibrav = 0, nat = 4, ntyp = 3
/
ATOMIC_SPECIES
Te 127.60 Te.upf
In 114.82 In.upf
Be 9.01 Be.upf
ATOMIC_POSITIONS angstrom
Te 3.369 2.724 1.411
In 4.332 0.071 1.411
Be 7.701 2.795 0.000
Te 0.000 0.000 0.000
CELL_PARAMETERS angstrom
8.664 0.141 0.000
6.738 5.448 0.000
-7.701 -2.795 2.823

Which of these has the highest final energy?
K2Hg2Au

Repeat the first record exactly.
! GGA-PBE Er6Zn2Cu, optimized geometry; values from VASP
! final energy = -3.7598 eV/atom
! V = 27.137 A^3/atom
! N(E_F) = 10.70 states/eV per cell
&SYSTEM
  ibrav = 0, nat = 9, ntyp = 3
/
ATOMIC_SPECIES
Zn 65.41 Zn.upf
Cu 63.55 Cu.upf
Er 167.26 Er.upf
ATOMIC_POSITIONS angstrom
Zn -1.494 1.860 4.236
Zn -4.111 -1.609 2.053
Cu 0.000 0.000 0.000
Er -3.983 -4.116 0.406
Er -1.334 -0.610 2.543
Er -2.743 -0.963 -0.541
Er -3.043 3.983 2.809
Er -4.270 0.861 3.746
Er -2.562 -3.732 3.481
CELL_PARAMETERS angstrom
-4.300 1.093 -1.988
-2.427 -6.172 1.854
1.122 5.330 6.424

Among the records above, which one has the highest N(E_F)?
Sc12In3Ag